Entry from Alexandria via LeMat-Bulk: an optimized crystal structure of La2TaCo (PBEsol).

a b c (Å): 6.3186 6.3186 6.3186
angles (deg): 148.75 133.92 56.73
Last column: nearest neighbours and their distance in Å.
Element x y z (fractional)
1 La 0.0000 0.0000 0.0000  4 Co 3.07, 2 Ta 3.34, 4 La 3.36-3.40
2 La 0.7052 0.2052 0.5000  4 Ta 3.17, 4 La 3.36-3.40, 2 Co 3.39
3 Ta 0.2978 0.7978 0.5000  2 Co 2.33
4 Co 0.4413 0.4413 0.0000  2 Ta 2.33

Properties
* spin magnetization: 0.00 Bohr magnetons per cell
* theoretical density: 9.184 g/cm³
* distance to the lowest polymorph of the same formula: 0.000 eV per atom
* symmetry: No. 44
* energy of formation: 20.10 kJ/mol of atoms
* VASP energy: -30.15 eV/cell